A plane-wave DFT calculation with PBE with a Hubbard U was carried out for SrCo2PbO after structural relaxation.

Unit cell a=5.002 b=4.843 c=5.002 alpha=90.00 beta=90.00 gamma=90.00
Site moments in Bohr magnetons follow the coordinates.
Sites, in units of the cell vectors:
1 Co 0.500 0.000 0.000  1.91
2 Co 0.000 0.000 0.500  1.97
3 O 0.000 0.500 0.000  -0.03
4 Sr 0.500 0.500 0.500  -0.02
5 Pb 0.000 0.000 0.000  -0.06

Results
- mass density (Mg/m³) = 5.876
- VASP energy (eV/cell) = -18.909
- M_tot (μB per cell) = 3.80